Record 1
Computed, not measured: a geometry-optimized NdSm2Ta structure at the GGA-PBE level of DFT.

```
data_NdSm2Ta
_chemical_formula_sum 'Nd1 Sm2 Ta1'
_cell_length_a 12.224
_cell_length_b 12.224
_cell_length_c 12.224
_cell_angle_alpha 15.59
_cell_angle_beta 15.59
_cell_angle_gamma 15.59
_space_group_name_H-M_alt 'P 1'
_space_group_IT_number 1
loop_
_space_group_symop_operation_xyz
'x,y,z'
loop_
_atom_site_label
_atom_site_fract_x
_atom_site_fract_y
_atom_site_fract_z
Nd1 0.000 0.000 0.000
Sm1 0.419 0.419 0.419
Sm2 0.581 0.581 0.581
Ta1 0.500 0.500 0.500
```

Results
For the electronic total energy, the calculation gives -5.85 eV/atom. Its space-group type is R-3m. The mass density is 9.0 g/cm3. The value obtained for the magnetic moment is 0.00 μB/cell. The calculation puts the energy of formation from the pure elements at 0.662 eV/atom.

---

Record 2
Computed, not measured: a geometry-optimized KTbI3 structure at the GGA-PBE level of DFT.

```
data_KTbI3
_chemical_formula_sum 'K2 Tb2 I6'
_cell_length_a 4.129
_cell_length_b 8.380
_cell_length_c 11.728
_cell_angle_alpha 89.84
_cell_angle_beta 90.00
_cell_angle_gamma 75.74
_space_group_name_H-M_alt 'P 1'
_space_group_IT_number 1
loop_
_space_group_symop_operation_xyz
'x,y,z'
loop_
_atom_site_label
_atom_site_fract_x
_atom_site_fract_y
_atom_site_fract_z
K1 0.243 0.015 0.249
K2 0.757 0.985 0.751
Tb1 0.500 0.500 0.000
Tb2 0.500 0.500 0.500
I1 0.139 0.222 0.556
I2 0.139 0.222 0.945
I3 0.439 0.623 0.750
I4 0.561 0.377 0.250
I5 0.861 0.778 0.055
I6 0.861 0.778 0.444
```

Results
For the electronic total energy, the calculation gives -3.31 eV/atom. Its space-group type is P-1. The calculation puts the raw formation energy at -1234.9 meV/atom. The mass density is 4.9 g/cm3. The value obtained for the magnetic moment is 0.00 μB/cell.

---

Record 3
Computed, not measured: a geometry-optimized Na3TlN structure at the GGA-PBE level of DFT.

```
data_Na3TlN
_chemical_formula_sum 'Na3 Tl1 N1'
_cell_length_a 5.704
_cell_length_b 5.704
_cell_length_c 5.704
_cell_angle_alpha 90.00
_cell_angle_beta 90.00
_cell_angle_gamma 90.00
_space_group_name_H-M_alt 'P 1'
_space_group_IT_number 1
loop_
_space_group_symop_operation_xyz
'x,y,z'
loop_
_atom_site_label
_atom_site_fract_x
_atom_site_fract_y
_atom_site_fract_z
Na1 0.000 0.000 0.500
Na2 0.000 0.500 0.000
Na3 0.500 0.000 0.000
Tl1 0.000 0.000 0.000
N1 0.500 0.500 0.500
```

Results
The energy relative to the lowest polymorph listed for this composition comes out at 101.6 kJ/mol of atoms. For the electronic total energy, the calculation gives -1.60 eV/atom. Its space-group type is Pm-3m. The calculation puts the raw formation energy at 1328.1 meV/atom. The mass density is 2.6 g/cm3. The value obtained for the magnetic moment is 0.00 μB/cell.

---

Record 4
Computed, not measured: a geometry-optimized KCo2SnGe structure at the GGA-PBE level of DFT.

```
data_KCo2SnGe
_chemical_formula_sum 'K1 Co2 Sn1 Ge1'
_cell_length_a 4.625
_cell_length_b 4.625
_cell_length_c 5.790
_cell_angle_alpha 90.00
_cell_angle_beta 90.00
_cell_angle_gamma 90.00
_space_group_name_H-M_alt 'P 1'
_space_group_IT_number 1
loop_
_space_group_symop_operation_xyz
'x,y,z'
loop_
_atom_site_label
_atom_site_fract_x
_atom_site_fract_y
_atom_site_fract_z
K1 0.000 0.000 0.000
Co1 0.000 0.500 0.000
Co2 0.500 0.000 0.000
Sn1 0.000 0.000 0.500
Ge1 0.500 0.500 0.500
```

Results
For the electronic total energy, the calculation gives -2.72 eV/atom. Its space-group type is P4/mmm. The mass density is 4.7 g/cm3. The value obtained for the magnetic moment is 3.12 μB/cell. The calculation puts the energy of formation from the pure elements at 2.066 eV/atom.